[1]
K2Na2Ge3 after structural relaxation. Source: the Alexandria database, functional PBE.

- space-group type = C2/m (12)
- DOS at the Fermi energy (states/eV/cell) = 0.64
- formation energy (eV/atom) = -0.068

Cell: 5.2715 9.3024 7.8221 Å, 139.50 90.00 106.46°
Last column: nearest neighbours and their distance in Å.
Sites, in units of the cell vectors:
Ge 0.4115 0.8230 0.5643  1 Ge 2.36
Ge 0.5885 0.1770 0.4357  1 Ge 2.36
Ge 0.5000 0.0000 0.0000  2 Ge 2.36
Na 0.1884 0.3769 0.4706  4 Ge 3.07-3.43, 2 Na 3.22
Na 0.8116 0.6231 0.5294  4 Ge 3.07-3.43, 2 Na 3.22
K 0.8790 0.7580 0.1282  3 Ge 3.42-3.53, 1 K 3.56, 2 Na 3.77-3.80
K 0.1210 0.2420 0.8718  3 Ge 3.42-3.53, 1 K 3.56, 2 Na 3.77-3.80

[2]
KNaGe4 after structural relaxation. Source: the Alexandria database, functional PBE.

- space-group type = F-43m (216)
- DOS at the Fermi energy (states/eV/cell) = 7.01
- formation energy (eV/atom) = 0.083

Cell: 5.8290 5.8290 5.8290 Å, 60.00 60.00 60.00°
Last column: nearest neighbours and their distance in Å.
Sites, in units of the cell vectors:
Na 0.0000 0.0000 0.0000  12 Ge 3.41, 4 K 3.57
K 0.2500 0.2500 0.2500  12 Ge 3.42, 4 Na 3.57
Ge 0.1203 0.6266 0.6266  6 Ge 2.88-2.95
Ge 0.6266 0.6266 0.1203  6 Ge 2.88-2.95
Ge 0.6266 0.1203 0.6266  6 Ge 2.88-2.95
Ge 0.6266 0.6266 0.6266  6 Ge 2.88-2.95

[3]
KNaGe after structural relaxation. Source: the Alexandria database, functional PBE.

- ΔE to the lowest computed polymorph (meV/atom) = 23
- space-group type = I4/mmm (139)
- DOS at the Fermi energy (states/eV/cell) = 2.55
- formation energy (eV/atom) = -0.052

Cell: 5.3563 5.3575 8.4010 Å, 108.61 108.61 90.04°
Last column: nearest neighbours and their distance in Å.
Sites, in units of the cell vectors:
Ge 0.6045 0.8575 0.0593  1 Ge 2.53
Na 0.5205 0.2729 0.8904  4 Ge 2.96
Na 0.0203 0.7727 0.8904  4 Ge 2.96
Ge 0.4358 0.6885 0.7215  1 Ge 2.53
K 0.2098 0.4623 0.2691  1 Ge 3.39
K 0.8308 0.0837 0.5116  1 Ge 3.39

[4]
KNaGe3 after structural relaxation. Source: the Alexandria database, functional PBE.

- ΔE to the lowest computed polymorph (meV/atom) = 528
- space-group type = Pm-3m (221)
- DOS at the Fermi energy (states/eV/cell) = 3.47
- formation energy (eV/atom) = 1.185

Cell: 5.6512 5.6512 5.6512 Å, 90.00 90.00 90.00°
Last column: nearest neighbours and their distance in Å.
Sites, in units of the cell vectors:
Na 0.5000 0.5000 0.5000  12 Ge 4.00
Ge 0.0000 0.0000 0.5000  2 K 2.83
Ge 0.0000 0.5000 0.0000  2 K 2.83
K 0.0000 0.0000 0.0000  6 Ge 2.83
Ge 0.5000 0.0000 0.0000  2 K 2.83